# NdSc2WO8 | Alexandria via LeMat-Bulk | PBE+U | relaxed
data_NdSc2WO8
_chemical_formula_sum 'Nd2 Sc4 W2 O16'
_cell_length_a 6.857
_cell_length_b 6.878
_cell_length_c 6.781
_cell_angle_alpha 90.00
_cell_angle_beta 90.00
_cell_angle_gamma 90.00
_space_group_name_H-M_alt 'C m m m'
_space_group_IT_number 65
_space_group_name_Hall '-C 2 2'
loop_
_atom_site_label
_atom_site_type_symbol
_atom_site_fract_x
_atom_site_fract_y
_atom_site_fract_z
Nd1 Nd 0.000 0.000 0.000
Sc1 Sc 0.000 0.500 0.262
W1 W 0.000 0.000 0.500
O1 O 0.000 0.194 0.292
O2 O 0.169 0.500 0.000
O3 O 0.211 0.500 0.500
# Electronic total energy   -8.14 eV/atom
# Crystal system   orthorhombic